No. 1
La6PmNdDy2: relaxed, GGA-PBE.

Lattice parameters (Å, degrees): 6.735 6.735 8.995 100.81 100.81 64.94
Positions (direct):
La 0.098 0.544 0.198
La 0.139 0.139 0.436
La 0.456 0.902 0.802
La 0.544 0.098 0.198
La 0.861 0.861 0.564
La 0.902 0.456 0.802
Pm 0.000 0.000 0.000
Nd 0.500 0.500 0.500
Dy 0.408 0.408 0.841
Dy 0.592 0.592 0.159

Its crystal system is monoclinic. The calculation puts the volume at 36.029 Å³/atom. The value obtained for the total magnetization is 0.0 μB/cell. The value obtained for the density of states at the Fermi level is 19.37 states/eV per cell. The formation energy is 0.186 eV/atom.

No. 2
LaPmNd2Dy: relaxed, GGA-PBE.

Lattice parameters (Å, degrees): 8.562 6.604 6.356 90.00 95.74 90.00
Positions (direct):
La 0.000 0.000 0.000
La 0.000 0.000 0.500
Pm 0.000 0.437 0.250
Pm 0.000 0.563 0.750
Nd 0.312 0.311 0.717
Nd 0.312 0.689 0.217
Nd 0.688 0.311 0.783
Nd 0.688 0.689 0.283
Dy 0.500 0.166 0.250
Dy 0.500 0.834 0.750

Its crystal system is monoclinic. The calculation puts the volume at 35.760 Å³/atom. The value obtained for the total magnetization is 0.0 μB/cell. The value obtained for the density of states at the Fermi level is 14.10 states/eV per cell. The formation energy is 0.261 eV/atom.

No. 3
La3Pm6NdDy2: relaxed, GGA-PBE.

Lattice parameters (Å, degrees): 6.341 6.341 12.155 95.02 95.02 120.03
Positions (direct):
La 0.000 0.000 0.000
La 0.333 0.667 0.000
La 0.667 0.333 0.000
Pm 0.084 0.418 0.255
Pm 0.248 0.248 0.745
Pm 0.418 0.084 0.255
Pm 0.582 0.916 0.745
Pm 0.752 0.752 0.255
Pm 0.916 0.582 0.745
Nd 0.500 0.500 0.500
Dy 0.167 0.833 0.500
Dy 0.833 0.167 0.500

Its crystal system is monoclinic. The calculation puts the volume at 34.718 Å³/atom. The value obtained for the total magnetization is 0.0 μB/cell. The value obtained for the density of states at the Fermi level is 20.15 states/eV per cell. The formation energy is 0.018 eV/atom.

No. 4
LaPm2Nd6Dy: relaxed, GGA-PBE.

Lattice parameters (Å, degrees): 9.015 9.015 9.901 94.05 94.05 117.81
Positions (direct):
La 0.022 0.978 0.750
La 0.978 0.022 0.250
Pm 0.197 0.297 0.545
Pm 0.297 0.197 0.045
Pm 0.703 0.803 0.955
Pm 0.803 0.703 0.455
Nd 0.015 0.567 0.686
Nd 0.119 0.748 0.055
Nd 0.252 0.881 0.445
Nd 0.296 0.507 0.881
Nd 0.433 0.985 0.814
Nd 0.493 0.704 0.619
Nd 0.507 0.296 0.381
Nd 0.567 0.015 0.186
Nd 0.704 0.493 0.119
Nd 0.748 0.119 0.555
Nd 0.881 0.252 0.945
Nd 0.985 0.433 0.314
Dy 0.408 0.592 0.250
Dy 0.592 0.408 0.750

Its crystal system is monoclinic. The calculation puts the volume at 35.252 Å³/atom. The value obtained for the total magnetization is 0.0 μB/cell. The value obtained for the density of states at the Fermi level is 30.26 states/eV per cell. The formation energy is 0.110 eV/atom.

No. 5
La2Pm4NdDy2: relaxed, GGA-PBE.

Lattice parameters (Å, degrees): 9.736 9.736 9.776 115.29 115.29 21.83
Positions (direct):
La 0.167 0.167 0.498
La 0.833 0.833 0.502
Pm 0.019 0.019 0.837
Pm 0.314 0.314 0.165
Pm 0.686 0.686 0.835
Pm 0.981 0.981 0.163
Nd 0.500 0.500 0.500
Dy 0.352 0.352 0.835
Dy 0.648 0.648 0.165

Its crystal system is monoclinic. The calculation puts the volume at 34.479 Å³/atom. The value obtained for the total magnetization is 0.0 μB/cell. The value obtained for the density of states at the Fermi level is 13.12 states/eV per cell. The formation energy is 0.003 eV/atom.

No. 6
La2Pm2NdDy2: relaxed, GGA-PBE.

Lattice parameters (Å, degrees): 6.324 6.324 8.191 97.26 97.26 48.13
Positions (direct):
La 0.142 0.142 0.427
La 0.858 0.858 0.573
Pm 0.285 0.285 0.859
Pm 0.715 0.715 0.141
Nd 0.000 0.000 0.000
Dy 0.429 0.429 0.284
Dy 0.571 0.571 0.716

Its crystal system is monoclinic. The calculation puts the volume at 34.516 Å³/atom. The value obtained for the total magnetization is 0.0 μB/cell. The value obtained for the density of states at the Fermi level is 11.72 states/eV per cell. The formation energy is 0.023 eV/atom.